Record 1
# HfH3Br | Alexandria via LeMat-Bulk | PBE | optimized geometry
# N(E_F) in states/eV per cell: 0.00
# Symmetry: No. 221
# Raw total energy in eV/atom: -4.45
data_HfH3Br
_space_group_name_H-M_alt 'P 1'
_space_group_IT_number 1
_space_group_name_Hall 'P 1'
_cell_length_a 3.907
_cell_length_b 3.907
_cell_length_c 3.907
_cell_angle_alpha 90.00
_cell_angle_beta 90.00
_cell_angle_gamma 90.00
loop_
_atom_site_label
_atom_site_type_symbol
_atom_site_fract_x
_atom_site_fract_y
_atom_site_fract_z
Hf1 Hf 0.000 0.000 0.000
H1 H 0.000 0.000 0.500
H2 H 0.000 0.500 0.000
H3 H 0.500 0.000 0.000
Br1 Br 0.500 0.500 0.500

=====

Record 2
# SrMnCr | Alexandria via LeMat-Bulk | PBE | optimized geometry
# Calculated formation energy in eV per atom: 0.9527
# N(E_F) in states/eV per cell: 3.04
# Symmetry: No. 216
# Raw total energy in eV/atom: -5.87
data_SrMnCr
_space_group_name_H-M_alt 'P 1'
_space_group_IT_number 1
_space_group_name_Hall 'P 1'
_cell_length_a 4.849
_cell_length_b 4.849
_cell_length_c 4.849
_cell_angle_alpha 60.00
_cell_angle_beta 60.00
_cell_angle_gamma 60.00
loop_
_atom_site_label
_atom_site_type_symbol
_atom_site_fract_x
_atom_site_fract_y
_atom_site_fract_z
Sr1 Sr 0.000 0.000 0.000
Mn1 Mn 0.250 0.250 0.250
Cr1 Cr 0.500 0.500 0.500

=====

Record 3
# PmEr5Te8 | Alexandria via LeMat-Bulk | PBE | optimized geometry
# Raw formation energy in eV per formula unit: -16.865
# N(E_F) in states/eV per cell: 9.19
# Symmetry: No. 216
# Raw total energy in eV/atom: -4.97
data_PmEr5Te8
_space_group_name_H-M_alt 'P 1'
_space_group_IT_number 1
_space_group_name_Hall 'P 1'
_cell_length_a 9.031
_cell_length_b 9.031
_cell_length_c 9.031
_cell_angle_alpha 60.00
_cell_angle_beta 60.00
_cell_angle_gamma 60.00
loop_
_atom_site_label
_atom_site_type_symbol
_atom_site_fract_x
_atom_site_fract_y
_atom_site_fract_z
Pm1 Pm 0.000 0.000 0.000
Er1 Er 0.376 0.376 0.376
Er2 Er 0.376 0.376 0.872
Er3 Er 0.376 0.872 0.376
Er4 Er 0.750 0.750 0.750
Er5 Er 0.872 0.376 0.376
Te1 Te 0.136 0.136 0.136
Te2 Te 0.136 0.136 0.593
Te3 Te 0.136 0.593 0.136
Te4 Te 0.147 0.618 0.618
Te5 Te 0.593 0.136 0.136
Te6 Te 0.618 0.147 0.618
Te7 Te 0.618 0.618 0.147
Te8 Te 0.618 0.618 0.618

=====

Record 4
# In2FeCl | Alexandria via LeMat-Bulk | PBE | optimized geometry
# Raw formation energy in eV per formula unit: 0.596
# N(E_F) in states/eV per cell: 3.70
# Symmetry: No. 71
# Raw total energy in eV/atom: -3.80
data_In2FeCl
_space_group_name_H-M_alt 'P 1'
_space_group_IT_number 1
_space_group_name_Hall 'P 1'
_cell_length_a 7.421
_cell_length_b 7.421
_cell_length_c 7.421
_cell_angle_alpha 156.57
_cell_angle_beta 146.09
_cell_angle_gamma 41.63
loop_
_atom_site_label
_atom_site_type_symbol
_atom_site_fract_x
_atom_site_fract_y
_atom_site_fract_z
In1 In 0.180 0.180 0.000
In2 In 0.820 0.820 0.000
Fe1 Fe 0.000 0.500 0.500
Cl1 Cl 0.500 0.000 0.500